Record 1
{"formula": "MgCuBi", "functional": "GGA-PBE", "state": "relaxed", "dft_energy_ev_per_cell": -26.25, "lattice_angstrom": [[7.7037, 0.0000, 0.0000], [-3.8519, 6.6716, 0.0000], [0.0000, 0.0000, 3.9619]], "species": ["Mg", "Mg", "Bi", "Cu", "Bi", "Cu", "Mg", "Cu", "Bi"], "frac_coords": [[0.7259, 0.7259, 0.0000], [0.0000, 0.2741, 0.0000], [0.6667, 0.3333, 0.0000], [0.0000, 0.6110, 0.5000], [0.3333, 0.6667, 0.0000], [0.6110, 0.0000, 0.5000], [0.2741, 0.0000, 0.0000], [0.3890, 0.3890, 0.5000], [0.0000, 0.0000, 0.5000]]}

Record 2
{"formula": "HfAgIr2", "functional": "GGA-PBE", "state": "relaxed", "formation_enthalpy_0k_ev_per_atom": -0.06, "dft_energy_ev_per_cell": -30.72, "lattice_angstrom": [[0.7501, 0.3398, 4.4851], [0.4621, 4.1056, 1.9299], [-3.2676, 1.6110, 2.7426]], "species": ["Ir", "Ag", "Hf", "Ir"], "frac_coords": [[0.2500, 0.2500, 0.2500], [0.7500, 0.7500, 0.7500], [0.5000, 0.5000, 0.5000], [0.0000, 0.0000, 0.0000]]}

Record 3
{"formula": "K2DyEr3C2", "functional": "GGA-PBE", "state": "relaxed", "dft_energy_ev_per_cell": -39.42, "lattice_angstrom": [[3.5968, 0.0000, 0.0000], [-1.7984, 3.1149, 0.0000], [0.0000, 0.0000, 20.5237]], "species": ["K", "Er", "C", "Er", "C", "Er", "Dy", "K"], "frac_coords": [[0.6667, 0.3333, 0.7490], [0.6667, 0.3333, 0.0647], [0.3333, 0.6667, 0.0011], [0.0000, 0.0000, 0.5638], [0.3333, 0.6667, 0.4998], [0.6667, 0.3333, 0.4357], [0.0000, 0.0000, 0.9355], [0.0000, 0.0000, 0.2505]]}

Record 4
{"formula": "MgSc2TlPt4", "functional": "GGA-PBE", "state": "relaxed", "dft_energy_ev_per_cell": -47.74, "lattice_angstrom": [[4.6447, 0.0000, 0.0000], [0.0000, 4.6447, 0.0000], [0.0000, 0.0000, 6.5429]], "species": ["Mg", "Pt", "Tl", "Pt", "Pt", "Sc", "Pt", "Sc"], "frac_coords": [[0.0000, 0.0000, 0.0000], [0.0000, 0.5000, 0.2346], [0.5000, 0.5000, 0.5000], [0.5000, 0.0000, 0.2346], [0.0000, 0.5000, 0.7654], [0.5000, 0.5000, 0.0000], [0.5000, 0.0000, 0.7654], [0.0000, 0.0000, 0.5000]]}

Record 5
{"formula": "NbICl3", "functional": "GGA-PBE", "state": "relaxed", "dft_energy_ev_per_cell": -44.89, "lattice_angstrom": [[6.4257, -3.5701, 0.0000], [6.4257, 3.5701, 0.0000], [-5.5321, 0.0000, 6.4997]], "species": ["I", "Cl", "Cl", "I", "Nb", "Cl", "Nb", "Cl", "Cl", "Cl"], "frac_coords": [[0.2292, 0.2292, 0.6986], [0.3327, 0.3327, 0.3536], [0.6673, 0.6673, 0.6464], [0.7708, 0.7708, 0.3014], [0.2243, 0.7757, 0.5000], [0.7803, 0.2641, 0.7938], [0.7757, 0.2243, 0.5000], [0.2641, 0.7803, 0.7938], [0.7359, 0.2197, 0.2062], [0.2197, 0.7359, 0.2062]]}

Record 6
{"formula": "TaCoAsPt", "functional": "GGA-PBE", "state": "relaxed", "dft_energy_ev_per_cell": -30.21, "polymorph_energy_mev_per_atom": 0.0, "lattice_angstrom": [[0.0000, 3.1153, 3.1153], [3.1153, 0.0000, 3.1153], [3.1153, 3.1153, 0.0000]], "species": ["Co", "Pt", "As", "Ta"], "frac_coords": [[0.7500, 0.7500, 0.7500], [0.5000, 0.5000, 0.5000], [0.0000, 0.0000, 0.0000], [0.2500, 0.2500, 0.2500]]}

Record 7
{"formula": "Y2TlCd", "functional": "GGA-PBE", "state": "relaxed", "dft_energy_ev_per_cell": -70.80, "lattice_angstrom": [[7.4558, 0.0000, 0.0000], [0.0000, 7.5476, 0.0000], [0.0000, 0.0000, 7.5827]], "species": ["Tl", "Y", "Cd", "Cd", "Y", "Y", "Y", "Tl", "Y", "Y", "Y", "Cd", "Tl", "Y", "Tl", "Cd"], "frac_coords": [[0.5000, 0.2500, 0.5000], [0.2500, 0.5000, 0.2500], [0.0000, 0.7500, 0.5000], [0.5000, 0.2500, 0.0000], [0.7500, 0.0000, 0.7500], [0.2500, 0.0000, 0.2500], [0.2500, 0.5000, 0.7500], [0.5000, 0.7500, 0.5000], [0.7500, 0.0000, 0.2500], [0.7500, 0.5000, 0.2500], [0.2500, 0.0000, 0.7500], [0.5000, 0.7500, 0.0000], [0.0000, 0.7500, 0.0000], [0.7500, 0.5000, 0.7500], [0.0000, 0.2500, 0.0000], [0.0000, 0.2500, 0.5000]]}

Record 8
{"formula": "HoErH2O4", "functional": "GGA-PBE", "state": "relaxed", "dft_energy_ev_per_cell": -57.08, "lattice_angstrom": [[4.2706, 0.0000, 0.0000], [0.0000, 3.5695, 0.0000], [-1.9827, 0.0000, 5.5405]], "species": ["O", "H", "Ho", "Er", "O", "O", "O", "H"], "frac_coords": [[0.2530, 0.5000, 0.5662], [0.4910, 0.5000, 0.5963], [0.8362, 0.5000, 0.1901], [0.1640, 0.0000, 0.8100], [0.2678, 0.5000, 0.0536], [0.7475, 0.0000, 0.4358], [0.7310, 0.0000, 0.9439], [0.5093, 0.0000, 0.4041]]}

Record 9
{"formula": "PmNbPt", "functional": "GGA-PBE", "state": "relaxed", "formation_enthalpy_0k_ev_per_atom": -0.04, "dft_energy_ev_per_cell": -21.02, "polymorph_energy_mev_per_atom": 0.0, "lattice_angstrom": [[0.0000, 3.3228, 3.3228], [3.3228, 0.0000, 3.3228], [3.3228, 3.3228, 0.0000]], "species": ["Pm", "Pt", "Nb"], "frac_coords": [[0.7500, 0.7500, 0.7500], [0.0000, 0.0000, 0.0000], [0.2500, 0.2500, 0.2500]]}

Record 10
{"formula": "NdAgSn", "functional": "GGA-PBE", "state": "relaxed", "dft_energy_ev_per_cell": -26.96, "lattice_angstrom": [[4.8121, 0.0000, 0.0000], [-2.4060, 4.1674, 0.0000], [0.0000, 0.0000, 7.6365]], "species": ["Sn", "Nd", "Sn", "Nd", "Ag", "Ag"], "frac_coords": [[0.0000, 0.0000, 0.7658], [0.6667, 0.3333, 0.9867], [0.3333, 0.6667, 0.2661], [0.6667, 0.3333, 0.4863], [0.0000, 0.0000, 0.1842], [0.3333, 0.6667, 0.6839]]}

Record 11
{"formula": "ZnCoHgIr", "functional": "GGA-PBE", "state": "relaxed", "formation_enthalpy_0k_ev_per_atom": 0.34, "dft_energy_ev_per_cell": -16.15, "polymorph_energy_mev_per_atom": 0.0, "lattice_angstrom": [[0.0000, 3.1160, 3.1160], [3.1160, 0.0000, 3.1160], [3.1160, 3.1160, 0.0000]], "species": ["Co", "Ir", "Hg", "Zn"], "frac_coords": [[0.7500, 0.7500, 0.7500], [0.2500, 0.2500, 0.2500], [0.5000, 0.5000, 0.5000], [0.0000, 0.0000, 0.0000]]}

Record 12
{"formula": "YEr", "functional": "GGA-PBE", "state": "relaxed", "formation_enthalpy_0k_ev_per_atom": 0.80, "dft_energy_ev_per_cell": -9.43, "polymorph_energy_mev_per_atom": 797.1, "lattice_angstrom": [[3.5155, -0.7454, 2.8301], [-0.4243, -2.9891, 3.4363], [2.2460, -3.9823, -0.1423]], "species": ["Y", "Er"], "frac_coords": [[0.5000, 0.5000, 0.5000], [0.0000, 0.0000, 0.0000]]}

Record 13
{"formula": "DyCoRe", "functional": "GGA-PBE", "state": "relaxed", "formation_enthalpy_0k_ev_per_atom": 1.56, "dft_energy_ev_per_cell": -19.46, "lattice_angstrom": [[-3.4954, -1.0780, -2.5143], [-3.6630, 2.5048, 0.1004], [-1.0714, 2.5064, -3.5031]], "species": ["Dy", "Re", "Co"], "frac_coords": [[0.2500, 0.2500, 0.2500], [0.5000, 0.5000, 0.5000], [0.0000, 0.0000, 0.0000]]}

Record 14
{"formula": "LiTmGe", "functional": "GGA-PBE", "state": "relaxed", "dft_energy_ev_per_cell": -11.22, "lattice_angstrom": [[0.0000, 3.2905, 3.2905], [3.2905, 0.0000, 3.2905], [3.2905, 3.2905, 0.0000]], "species": ["Tm", "Li", "Ge"], "frac_coords": [[0.0000, 0.0000, 0.0000], [0.7500, 0.7500, 0.7500], [0.2500, 0.2500, 0.2500]]}

Record 15
{"formula": "YScCuAs", "functional": "GGA-PBE", "state": "relaxed", "dft_energy_ev_per_cell": -21.02, "polymorph_energy_mev_per_atom": 0.0, "lattice_angstrom": [[0.0000, 3.4110, 3.4110], [3.4110, 0.0000, 3.4110], [3.4110, 3.4110, 0.0000]], "species": ["Sc", "Cu", "As", "Y"], "frac_coords": [[0.7500, 0.7500, 0.7500], [0.2500, 0.2500, 0.2500], [0.0000, 0.0000, 0.0000], [0.5000, 0.5000, 0.5000]]}

Record 16
{"formula": "Sm3Tm3CoTe2", "functional": "GGA-PBE", "state": "relaxed", "dft_energy_ev_per_cell": -47.34, "polymorph_energy_mev_per_atom": 0.0, "lattice_angstrom": [[-2.2838, -7.6903, 2.3083], [-0.7662, 2.3664, -7.9686], [3.6851, -1.3182, -0.7458]], "species": ["Co", "Te", "Sm", "Te", "Tm", "Sm", "Tm", "Sm", "Tm"], "frac_coords": [[0.0000, 0.0000, 0.0000], [0.3333, 0.6667, 0.5000], [0.5998, 0.0000, 0.0000], [0.6667, 0.3333, 0.5000], [0.7687, 0.7687, 0.5000], [0.0000, 0.5998, 0.0000], [0.0000, 0.2313, 0.5000], [0.4002, 0.4002, 0.0000], [0.2313, 0.0000, 0.5000]]}

Record 17
{"formula": "Li4InSiIr2", "functional": "GGA-PBE", "state": "relaxed", "dft_energy_ev_per_cell": -36.90, "lattice_angstrom": [[4.2002, 0.0000, 0.0000], [0.0000, 4.2002, 0.0000], [0.0000, 0.0000, 6.2184]], "species": ["Li", "Li", "Si", "Li", "Ir", "Ir", "Li", "In"], "frac_coords": [[0.5000, 0.5000, 0.5000], [0.5000, 0.0000, 0.2324], [0.5000, 0.5000, 0.0000], [0.0000, 0.5000, 0.7676], [0.0000, 0.5000, 0.2109], [0.5000, 0.0000, 0.7891], [0.0000, 0.0000, 0.0000], [0.0000, 0.0000, 0.5000]]}

Record 18
{"formula": "BaSr2ReO6", "functional": "GGA-PBE", "state": "relaxed", "dft_energy_ev_per_cell": -141.67, "lattice_angstrom": [[-3.1609, 4.5558, -1.9672], [-4.8556, -1.9276, 3.3380], [5.7914, 0.1393, 8.5049]], "species": ["Sr", "O", "O", "Sr", "O", "Re", "O", "O", "O", "Ba", "Sr", "Re", "O", "O", "O", "Ba", "Sr", "O", "O", "O"], "frac_coords": [[0.7357, 0.0582, 0.7541], [0.5679, 0.2390, 0.4209], [0.4321, 0.7390, 0.0791], [0.7357, 0.4418, 0.2541], [0.8322, 0.0620, 0.2076], [0.5000, 0.0000, 0.0000], [0.7145, 0.6630, 0.4458], [0.5679, 0.2610, 0.9209], [0.1678, 0.9380, 0.7924], [0.0000, 0.5000, 0.0000], [0.2643, 0.5582, 0.7459], [0.5000, 0.5000, 0.5000], [0.7145, 0.8370, 0.9458], [0.1678, 0.5620, 0.2924], [0.8322, 0.4380, 0.7076], [0.0000, 0.0000, 0.5000], [0.2643, 0.9418, 0.2459], [0.2855, 0.1630, 0.0542], [0.4321, 0.7610, 0.5791], [0.2855, 0.3370, 0.5542]]}

Record 19
{"formula": "NaLaTc", "functional": "GGA-PBE", "state": "relaxed", "dft_energy_ev_per_cell": -12.94, "polymorph_energy_mev_per_atom": 0.0, "lattice_angstrom": [[0.0000, 3.3964, 3.3964], [3.3964, 0.0000, 3.3964], [3.3964, 3.3964, 0.0000]], "species": ["Na", "La", "Tc"], "frac_coords": [[0.2500, 0.2500, 0.2500], [0.0000, 0.0000, 0.0000], [0.7500, 0.7500, 0.7500]]}

Record 20
{"formula": "BaSrTc2As4", "functional": "GGA-PBE", "state": "relaxed", "dft_energy_ev_per_cell": -46.84, "lattice_angstrom": [[4.6927, 0.0000, 0.0000], [0.0000, 2.2887, 8.6299], [0.0000, -2.2887, 8.6299]], "species": ["As", "Tc", "Sr", "As", "As", "Tc", "Ba", "As"], "frac_coords": [[0.0000, 0.9500, 0.9500], [0.0000, 0.8138, 0.8138], [0.5000, 0.3955, 0.3955], [0.5000, 0.0497, 0.0497], [0.5000, 0.7517, 0.7517], [0.5000, 0.1877, 0.1877], [0.0000, 0.6011, 0.6011], [0.0000, 0.2505, 0.2505]]}